1.
A relaxed structure of Ge2BiCl2. Source: Alexandria via LeMat-Bulk, functional PBE.

Computed properties:
formation energy from raw total energies: 0.27 eV/f.u.
D(E_F): 8.18 states/eV/cell
size of the total moment: 0.0 μB/cell
crystal system: tetragonal

Unit cell a=4.399 b=4.399 c=12.491 alpha=90.00 beta=90.00 gamma=90.00
Space group I4/mmm (No. 139)
Symmetry-distinct sites (fractional):
Ge 0.000 0.000 0.114 [4 per cell]
Bi 0.000 0.000 0.500 [2 per cell]
Cl 0.000 0.500 0.250 [4 per cell]


2.
A relaxed structure of Ge3BiCl. Source: Alexandria via LeMat-Bulk, functional PBE.

Computed properties:
formation energy from raw total energies: 4.54 eV/f.u.
D(E_F): 5.07 states/eV/cell
size of the total moment: 0.0 μB/cell
crystal system: cubic

Unit cell a=5.644 b=5.644 c=5.644 alpha=90.00 beta=90.00 gamma=90.00
Space group Pm-3m (No. 221)
Symmetry-distinct sites (fractional):
Ge 0.000 0.000 0.500 [3 per cell]
Bi 0.000 0.000 0.000 [1 per cell]
Cl 0.500 0.500 0.500 [1 per cell]


3.
A relaxed structure of KGe2BiCl8. Source: Alexandria via LeMat-Bulk, functional PBE.

Computed properties:
formation energy from raw total energies: -12.62 eV/f.u.
D(E_F): 0.00 states/eV/cell
size of the total moment: 0.0 μB/cell
crystal system: triclinic

Unit cell a=6.405 b=6.922 c=8.977 alpha=87.05 beta=89.18 gamma=85.92
Space group P-1 (No. 2)
Symmetry-distinct sites (fractional):
K 0.000 0.000 0.000 [1 per cell]
Ge 0.460 0.453 0.260 [2 per cell]
Bi 0.000 0.000 0.500 [1 per cell]
Cl 0.216 0.806 0.285 [2 per cell]
Cl 0.246 0.317 0.462 [2 per cell]
Cl 0.268 0.860 0.723 [2 per cell]
Cl 0.279 0.354 0.062 [2 per cell]


4.
A relaxed structure of La4GeBiCl2. Source: Alexandria via LeMat-Bulk, functional PBE.

Computed properties:
formation energy from raw total energies: -10.59 eV/f.u.
D(E_F): 4.28 states/eV/cell
size of the total moment: 0.0 μB/cell
crystal system: monoclinic

Unit cell a=7.277 b=4.450 c=7.947 alpha=90.00 beta=110.30 gamma=90.00
Space group P2/m (No. 10)
Symmetry-distinct sites (fractional):
La 0.241 0.000 0.222 [2 per cell]
La 0.255 0.500 0.774 [2 per cell]
Ge 0.500 0.000 0.000 [1 per cell]
Bi 0.500 0.500 0.500 [1 per cell]
Cl 0.000 0.000 0.500 [1 per cell]
Cl 0.000 0.500 0.000 [1 per cell]


5.
A relaxed structure of La3GeBiCl. Source: Alexandria via LeMat-Bulk, functional PBE.

Computed properties:
formation energy from raw total energies: -6.53 eV/f.u.
D(E_F): 6.10 states/eV/cell
size of the total moment: 1.6 μB/cell
crystal system: monoclinic

Unit cell a=9.032 b=4.581 c=9.856 alpha=90.00 beta=102.74 gamma=90.00
Space group P2_1/m (No. 11)
Symmetry-distinct sites (fractional):
La 0.071 0.250 0.344 [2 per cell]
La 0.243 0.250 0.981 [2 per cell]
La 0.387 0.750 0.634 [2 per cell]
Ge 0.163 0.250 0.660 [2 per cell]
Bi 0.318 0.750 0.273 [2 per cell]
Cl 0.407 0.750 0.921 [2 per cell]


6.
A relaxed structure of Mg2GeBiCl. Source: Alexandria via LeMat-Bulk, functional PBE.

Computed properties:
formation energy from raw total energies: 0.22 eV/f.u.
D(E_F): 2.97 states/eV/cell
size of the total moment: 0.0 μB/cell
crystal system: tetragonal

Unit cell a=5.167 b=5.167 c=5.146 alpha=90.00 beta=90.00 gamma=90.00
Space group P4/mmm (No. 123)
Symmetry-distinct sites (fractional):
Mg 0.000 0.500 0.000 [2 per cell]
Ge 0.000 0.000 0.000 [1 per cell]
Bi 0.500 0.500 0.500 [1 per cell]
Cl 0.000 0.000 0.500 [1 per cell]